This record from Alexandria via LeMat-Bulk describes Li3Mg2Pd after structural relaxation. The functional is PBE-GGA.

Unit cell a=2.9425 b=4.5097 c=8.1110 alpha=90.00 beta=90.00 gamma=90.00
Element x y z (fractional)
Mg: 0.0000 0.0000 0.4687
Mg: 0.0000 0.5000 0.0358
Pd: 0.5000 0.5000 0.3352
Li: 0.5000 0.0000 0.1708
Li: 0.5000 0.0000 0.8336
Li: 0.5000 0.5000 0.6560

Calculated values
- Magnetization: 0.0 μB/f.u.
- Energy of formation: -136 kJ/mol of formula units
- Calculated density: 2713 kg/m3
- Energy above the most stable polymorph in this dataset: 11 meV per atom
- Total energy: -15.5 eV per cell